1.
Here is a relaxed Hf4GaC crystal from the Alexandria database. Energies are from PBE.

The structure in POSCAR format:
```
Hf4GaC
1.0
6.158 0.000 0.000
0.000 6.089 0.000
-0.602 0.000 6.017
Hf Ga C
8 2 2
direct
0.111 0.159 0.183
0.111 0.341 0.683
0.323 0.631 0.096
0.323 0.869 0.596
0.677 0.131 0.404
0.677 0.369 0.904
0.889 0.659 0.317
0.889 0.841 0.817
0.500 0.000 0.000
0.500 0.500 0.500
0.000 0.000 0.500
0.000 0.500 0.000
```

theoretical density = 11.711 Mg/m³
E = -8.93 eV/atom
space-group type = P2_1/c (14)
E_form = -0.254 eV/atom

---

2.
Here is a relaxed LaPmHg2 crystal from the Alexandria database. Energies are from PBE.

The structure in POSCAR format:
```
LaPmHg2
1.0
7.728 0.000 0.000
0.000 7.728 0.000
0.000 0.000 7.728
La Pm Hg
4 4 8
direct
0.000 0.000 0.000
0.000 0.500 0.500
0.500 0.000 0.500
0.500 0.500 0.000
0.000 0.000 0.500
0.000 0.500 0.000
0.500 0.000 0.000
0.500 0.500 0.500
0.250 0.250 0.250
0.250 0.250 0.750
0.250 0.750 0.250
0.250 0.750 0.750
0.750 0.250 0.250
0.750 0.250 0.750
0.750 0.750 0.250
0.750 0.750 0.750
```

theoretical density = 9.860 Mg/m³
ΔE to the lowest computed polymorph = 0 meV per atom
E = -3.06 eV/atom
space-group type = Fm-3m (225)
E_form = -0.486 eV/atom

---

3.
Here is a relaxed Ca2YTcRh crystal from the Alexandria database. Energies are from PBE.

The structure in POSCAR format:
```
Ca2YTcRh
1.0
5.167 0.000 0.000
0.000 5.167 0.000
0.000 0.000 5.162
Ca Y Tc Rh
2 1 1 1
direct
0.000 0.500 0.000
0.500 0.000 0.000
0.000 0.000 0.500
0.000 0.000 0.000
0.500 0.500 0.500
```

theoretical density = 4.457 Mg/m³
E = -4.94 eV/atom
space-group type = P4/mmm (123)
E_form = 0.693 eV/atom

---

4.
Here is a relaxed BaMoSe2Br crystal from the Alexandria database. Energies are from PBE.

The structure in POSCAR format:
```
BaMoSe2Br
1.0
4.984 0.000 0.000
0.000 4.984 0.000
0.000 0.000 5.493
Ba Mo Se Br
1 1 2 1
direct
0.000 0.000 0.000
0.500 0.500 0.500
0.000 0.500 0.500
0.500 0.000 0.500
0.500 0.500 0.000
```

theoretical density = 5.733 Mg/m³
ΔE to the lowest computed polymorph = 0 meV per atom
E = -5.12 eV/atom
space-group type = P4/mmm (123)

---

5.
Here is a relaxed SmTh3Sb4 crystal from the Alexandria database. Energies are from PBE.

The structure in POSCAR format:
```
SmTh3Sb4
1.0
9.006 0.000 0.000
0.000 12.718 0.000
0.000 0.000 4.493
Sm Th Sb
2 6 8
direct
0.000 0.000 0.000
0.500 0.500 0.000
0.000 0.500 0.000
0.250 0.250 0.500
0.250 0.750 0.500
0.500 0.000 0.000
0.750 0.250 0.500
0.750 0.750 0.500
0.000 0.249 0.000
0.000 0.751 0.000
0.248 0.000 0.500
0.252 0.500 0.500
0.500 0.251 0.000
0.500 0.749 0.000
0.748 0.500 0.500
0.752 0.000 0.500
```

theoretical density = 8.606 Mg/m³
ΔE to the lowest computed polymorph = 3 meV per atom
E = -6.41 eV/atom
space-group type = Cmmm (65)

---

6.
Here is a relaxed Na4CdSn crystal from the Alexandria database. Energies are from PBE.

The structure in POSCAR format:
```
Na4CdSn
1.0
10.014 0.000 0.000
0.000 6.158 0.000
0.000 0.000 6.212
Na Cd Sn
8 2 2
direct
0.000 0.064 0.000
0.000 0.412 0.646
0.249 0.719 0.832
0.251 0.281 0.332
0.500 0.588 0.146
0.500 0.936 0.500
0.749 0.281 0.332
0.751 0.719 0.832
0.000 0.908 0.488
0.500 0.092 0.988
0.000 0.573 0.152
0.500 0.427 0.652
```

theoretical density = 2.801 Mg/m³
ΔE to the lowest computed polymorph = 55 meV per atom
E = -1.75 eV/atom
space-group type = Pmn2_1 (31)
E_form = -0.049 eV/atom